Entry from OQMD via LeMat-Bulk: crystalline ErSnPd2 at its relaxed geometry (GGA-PBE).

Cell: 4.762 4.762 4.762 Å, 120.00 90.00 120.00°
Positions (direct):
Pd: 0.750 0.500 0.250
Er: 0.500 0.000 0.500
Sn: 0.000 0.000 0.000
Pd: 0.250 0.500 0.750

Calculated values
DFT total energy, eV per cell: -22.5
Space group: Fm-3m, No. 225